! Tb2Mo2C3 meta-GGA SCAN single point on PBEsol structure; values from VASP
&SYSTEM
  ibrav = 0, nat = 7, ntyp = 3
/
ATOMIC_SPECIES
Tb 158.93 Tb.upf
Mo 95.94 Mo.upf
C 12.01 C.upf
CELL_PARAMETERS angstrom
5.853 -1.658 0.000
5.853 1.658 0.000
-2.199 0.000 5.240
ATOMIC_POSITIONS crystal
Tb 0.109 0.109 0.322
Tb 0.891 0.891 0.678
Mo 0.342 0.342 0.174
Mo 0.658 0.658 0.826
C 0.251 0.251 0.767
C 0.500 0.500 0.500
C 0.749 0.749 0.233
! - Raw total energy: -28.063 eV/atom
! - Crystal system: monoclinic
! - Magnetic moment: 0.0 μB per cell